PrGa4Ni2Pd | PBE-GGA | optimized geometry

Values from the calculation:
- density (Mg/m³) = 7.9
- formation enthalpy at 0 K (kJ/mol of formula units) = -387.9

```
PrGa4Ni2Pd
1.0
2.087 1.205 9.001
-2.087 1.205 9.001
0.000 -2.410 9.001
Pr Ga Ni Pd
1 4 2 1
Direct
0.000 0.000 0.000 Pr
0.127 0.127 0.127 Ga
0.403 0.403 0.403 Ga
0.597 0.597 0.597 Ga
0.873 0.873 0.873 Ga
0.229 0.229 0.229 Ni
0.771 0.771 0.771 Ni
0.500 0.500 0.500 Pd
```